DFT (PBE) results for Ca3SbPb after structural relaxation.

Properties
**Density of states at the Fermi level**: 3.675 states/eV per cell
**Energy above the lowest structure with this stoichiometry**: 0.0000 eV per atom
**Calculated volume**: 33.655 Å³ per atom
**Formation energy from raw total energies**: -633 meV/atom
**Spin magnetization**: 0.0 μB/f.u.

The structure in POSCAR format:
```
Ca3SbPb
1.0
8.2089 -2.2304 0.0000
8.2089 2.2304 0.0000
-0.5570 0.0000 9.1905
Ca Sb Pb
6 2 2
Cartesian
0.6588 0.0000 1.5394
3.4757 0.0000 7.5278
6.3506 0.0000 3.7138
9.5102 0.0000 5.4767
12.3850 0.0000 1.6627
15.2020 0.0000 7.6511
6.3495 0.0000 0.6160
9.5113 0.0000 8.5745
2.8768 0.0000 3.9198
12.9840 0.0000 5.2707
```